PrSiNO: relaxed, PBE.

Computed properties:
symmetry	No. 29
size of the total moment	0.02	μB per cell
offset from the most stable computed form	132	meV/atom

Unit cell a=6.7661 b=6.7778 c=5.3182 alpha=90.00 beta=90.00 gamma=90.00
Last column: nearest neighbours and their distance in Å.
Fractional positions:
1 Pr 0.0568 0.1797 0.0000  3 N 2.42-2.64, 2 O 2.56-2.59
2 Pr 0.4432 0.1797 0.5000  3 N 2.42-2.64, 2 O 2.56-2.59
3 Pr 0.5568 0.8203 0.0000  3 N 2.42-2.64, 2 O 2.56-2.59
4 Pr 0.9432 0.8203 0.5000  3 N 2.42-2.64, 2 O 2.56-2.59
5 Si 0.0860 0.6586 0.0005  1 N 1.75, 2 O 1.80-1.81
6 Si 0.4140 0.6586 0.5005  1 N 1.75, 2 O 1.80-1.81
7 Si 0.5860 0.3414 0.0005  1 N 1.75, 2 O 1.80-1.81
8 Si 0.9140 0.3414 0.5005  1 N 1.75, 2 O 1.80-1.81
9 N 0.0869 0.1495 0.5074  1 Si 1.75
10 N 0.4131 0.1495 0.0074  1 Si 1.75
11 N 0.5869 0.8505 0.5074  1 Si 1.75
12 N 0.9131 0.8505 0.0074  1 Si 1.75
13 O 0.0033 0.4979 0.2498  2 Si 1.80-1.81
14 O 0.4967 0.4979 0.7498  2 Si 1.80-1.81
15 O 0.5033 0.5021 0.2498  2 Si 1.80-1.81
16 O 0.9967 0.5021 0.7498  2 Si 1.80-1.81